No. 1
VASP calculation (GGA-PBE) on ErSnPtO6 after structural relaxation.

Output
final energy: -6.50 eV per atom
SG: P-31c, No. 163
N(E_F): 0.620 states/eV/atom
formation energy without anion corrections: -1571 meV per atom

CIF file:
```
data_ErSnPtO6
_space_group_name_H-M_alt 'P 1'
_space_group_IT_number 1
_cell_length_a 5.384
_cell_length_b 5.384
_cell_length_c 8.975
_cell_angle_alpha 90.00
_cell_angle_beta 90.00
_cell_angle_gamma 120.00
loop_
_space_group_symop_operation_xyz
'x,y,z'
loop_
_atom_site_label
_atom_site_type_symbol
_atom_site_fract_x
_atom_site_fract_y
_atom_site_fract_z
_atom_site_occupancy
Pt1 Pt 0.333 0.667 0.750 1
Sn1 Sn 0.000 0.000 0.500 1
O1 O 0.349 0.028 0.123 1
Er1 Er 0.333 0.667 0.250 1
O2 O 0.651 0.678 0.623 1
O3 O 0.651 0.972 0.877 1
O4 O 0.678 0.651 0.123 1
O5 O 0.678 0.028 0.377 1
O6 O 0.349 0.322 0.377 1
O7 O 0.322 0.972 0.623 1
O8 O 0.028 0.678 0.877 1
O9 O 0.972 0.651 0.377 1
Pt2 Pt 0.667 0.333 0.250 1
O10 O 0.322 0.349 0.877 1
Er2 Er 0.667 0.333 0.750 1
O11 O 0.028 0.349 0.623 1
Sn2 Sn 0.000 0.000 0.000 1
O12 O 0.972 0.322 0.123 1
```


No. 2
VASP calculation (GGA-PBE) on SrErPtO4 after structural relaxation.

Output
final energy: -6.69 eV per atom
SG: Imma, No. 74
formation energy without anion corrections: -2102 meV per atom

CIF file:
```
data_SrErPtO4
_space_group_name_H-M_alt 'P 1'
_space_group_IT_number 1
_cell_length_a 6.663
_cell_length_b 6.804
_cell_length_c 6.918
_cell_angle_alpha 120.56
_cell_angle_beta 90.00
_cell_angle_gamma 119.32
loop_
_space_group_symop_operation_xyz
'x,y,z'
loop_
_atom_site_label
_atom_site_type_symbol
_atom_site_fract_x
_atom_site_fract_y
_atom_site_fract_z
_atom_site_occupancy
O1 O 0.274 0.967 0.234 1
Pt1 Pt 0.000 0.500 0.500 1
O2 O 0.726 0.033 0.766 1
O3 O 0.263 0.527 0.328 1
O4 O 0.694 0.967 0.234 1
Pt2 Pt 0.500 0.500 0.500 1
O5 O 0.306 0.033 0.766 1
Sr1 Sr 0.855 0.710 0.105 1
O6 O 0.737 0.473 0.672 1
Er1 Er 0.500 0.000 0.500 1
O7 O 0.737 0.473 0.302 1
Er2 Er 0.500 0.000 0.000 1
O8 O 0.263 0.527 0.698 1
Sr2 Sr 0.145 0.290 0.895 1
```


No. 3
VASP calculation (GGA-PBE) on SrEr2PtO5 after structural relaxation.

Output
final energy: -7.31 eV per atom
SG: P4/mbm, No. 127
N(E_F): 0.000 states/eV/atom
formation energy without anion corrections: -2686 meV per atom

CIF file:
```
data_SrEr2PtO5
_space_group_name_H-M_alt 'P 1'
_space_group_IT_number 1
_cell_length_a 5.876
_cell_length_b 6.465
_cell_length_c 6.465
_cell_angle_alpha 90.00
_cell_angle_beta 90.00
_cell_angle_gamma 90.00
loop_
_space_group_symop_operation_xyz
'x,y,z'
loop_
_atom_site_label
_atom_site_type_symbol
_atom_site_fract_x
_atom_site_fract_y
_atom_site_fract_z
_atom_site_occupancy
Er1 Er 0.500 0.174 0.326 1
Er2 Er 0.500 0.826 0.674 1
Er3 Er 0.500 0.326 0.826 1
Pt1 Pt 0.000 0.500 0.000 1
Pt2 Pt 0.000 0.000 0.500 1
O1 O 0.261 0.857 0.357 1
O2 O 0.261 0.643 0.857 1
O3 O 0.261 0.357 0.143 1
O4 O 0.739 0.857 0.357 1
O5 O 0.739 0.357 0.143 1
O6 O 0.500 0.500 0.500 1
Sr1 Sr 0.000 0.500 0.500 1
O7 O 0.739 0.643 0.857 1
Sr2 Sr 0.000 0.000 0.000 1
Er4 Er 0.500 0.674 0.174 1
O8 O 0.261 0.143 0.643 1
O9 O 0.739 0.143 0.643 1
O10 O 0.500 0.000 0.000 1
```


No. 4
VASP calculation (GGA-PBE) on ErTlPtO6 after structural relaxation.

Output
final energy: -5.94 eV per atom
SG: P-31c, No. 163
N(E_F): 0.681 states/eV/atom
formation energy without anion corrections: -1198 meV per atom

CIF file:
```
data_ErTlPtO6
_space_group_name_H-M_alt 'P 1'
_space_group_IT_number 1
_cell_length_a 5.577
_cell_length_b 5.577
_cell_length_c 9.062
_cell_angle_alpha 90.00
_cell_angle_beta 90.00
_cell_angle_gamma 120.00
loop_
_space_group_symop_operation_xyz
'x,y,z'
loop_
_atom_site_label
_atom_site_type_symbol
_atom_site_fract_x
_atom_site_fract_y
_atom_site_fract_z
_atom_site_occupancy
O1 O 0.376 0.033 0.128 1
O2 O 0.967 0.343 0.128 1
O3 O 0.657 0.624 0.128 1
O4 O 0.343 0.967 0.628 1
Er1 Er 0.667 0.333 0.750 1
O5 O 0.343 0.376 0.872 1
Er2 Er 0.333 0.667 0.250 1
O6 O 0.624 0.967 0.872 1
Tl1 Tl 0.000 0.000 0.000 1
Tl2 Tl 0.000 0.000 0.500 1
Pt1 Pt 0.333 0.667 0.750 1
O7 O 0.967 0.624 0.372 1
Pt2 Pt 0.667 0.333 0.250 1
O8 O 0.033 0.657 0.872 1
O9 O 0.657 0.033 0.372 1
O10 O 0.376 0.343 0.372 1
O11 O 0.033 0.376 0.628 1
O12 O 0.624 0.657 0.628 1
```


No. 5
VASP calculation (GGA-PBE) on ErZnPtO4 after structural relaxation.

Output
final energy: -6.21 eV per atom
SG: Imma, No. 74
N(E_F): 0.214 states/eV/atom
formation energy without anion corrections: -1677 meV per atom

CIF file:
```
data_ErZnPtO4
_space_group_name_H-M_alt 'P 1'
_space_group_IT_number 1
_cell_length_a 6.312
_cell_length_b 6.418
_cell_length_c 6.607
_cell_angle_alpha 120.98
_cell_angle_beta 90.00
_cell_angle_gamma 119.46
loop_
_space_group_symop_operation_xyz
'x,y,z'
loop_
_atom_site_label
_atom_site_type_symbol
_atom_site_fract_x
_atom_site_fract_y
_atom_site_fract_z
_atom_site_occupancy
O1 O 0.756 0.049 0.774 1
O2 O 0.707 0.951 0.226 1
O3 O 0.246 0.492 0.288 1
Pt1 Pt 0.500 0.500 0.500 1
O4 O 0.293 0.049 0.774 1
Er1 Er 0.500 0.000 0.000 1
Zn1 Zn 0.121 0.242 0.871 1
O5 O 0.244 0.951 0.226 1
Pt2 Pt 0.000 0.500 0.500 1
O6 O 0.246 0.492 0.705 1
O7 O 0.754 0.508 0.712 1
O8 O 0.754 0.508 0.295 1
Er2 Er 0.500 0.000 0.500 1
Zn2 Zn 0.879 0.758 0.129 1
```


No. 6
VASP calculation (GGA-PBE) on Er5Pu3O12 after structural relaxation.

Output
final energy: -9.44 eV per atom
SG: Ia-3d, No. 230
N(E_F): 1.442 states/eV/atom
formation energy without anion corrections: -3173 meV per atom

CIF file:
```
data_Er5Pu3O12
_space_group_name_H-M_alt 'P 1'
_space_group_IT_number 1
_cell_length_a 11.694
_cell_length_b 11.694
_cell_length_c 11.694
_cell_angle_alpha 109.47
_cell_angle_beta 109.47
_cell_angle_gamma 109.47
loop_
_space_group_symop_operation_xyz
'x,y,z'
loop_
_atom_site_label
_atom_site_type_symbol
_atom_site_fract_x
_atom_site_fract_y
_atom_site_fract_z
_atom_site_occupancy
O1 O 0.129 0.717 0.542 1
O2 O 0.283 0.412 0.825 1
O3 O 0.717 0.129 0.042 1
O4 O 0.871 0.588 0.913 1
Er1 Er 0.000 0.000 0.000 1
O5 O 0.413 0.371 0.588 1
Er2 Er 0.750 0.625 0.375 1
O6 O 0.587 0.629 0.412 1
O7 O 0.542 0.325 0.913 1
O8 O 0.587 0.958 0.675 1
O9 O 0.912 0.825 0.783 1
Er3 Er 0.250 0.375 0.625 1
Er4 Er 0.250 0.875 0.125 1
Pu1 Pu 0.875 0.125 0.250 1
O10 O 0.088 0.175 0.217 1
O11 O 0.088 0.913 0.371 1
Er5 Er 0.375 0.250 0.125 1
O12 O 0.913 0.825 0.542 1
O13 O 0.129 0.412 0.087 1
Er6 Er 0.000 0.500 0.500 1
O14 O 0.871 0.283 0.458 1
Er7 Er 0.500 0.000 0.000 1
Pu2 Pu 0.375 0.750 0.625 1
Er8 Er 0.875 0.625 0.750 1
Er9 Er 0.625 0.875 0.250 1
O15 O 0.783 0.458 0.371 1
O16 O 0.783 0.325 0.912 1
O17 O 0.825 0.912 0.283 1
Er10 Er 0.125 0.750 0.375 1
Er11 Er 0.125 0.375 0.250 1
O18 O 0.542 0.217 0.129 1
Pu3 Pu 0.750 0.375 0.125 1
O19 O 0.629 0.042 0.217 1
Pu4 Pu 0.250 0.625 0.875 1
O20 O 0.412 0.283 0.325 1
Er12 Er 0.000 0.500 0.000 1
Er13 Er 0.625 0.750 0.875 1
O21 O 0.175 0.088 0.717 1
Pu5 Pu 0.125 0.875 0.750 1
O22 O 0.087 0.175 0.458 1
O23 O 0.371 0.958 0.783 1
Er14 Er 0.500 0.000 0.500 1
O24 O 0.325 0.542 0.413 1
O25 O 0.458 0.675 0.087 1
O26 O 0.588 0.717 0.675 1
O27 O 0.717 0.588 0.175 1
O28 O 0.217 0.542 0.629 1
Pu6 Pu 0.875 0.750 0.125 1
O29 O 0.412 0.129 0.587 1
O30 O 0.675 0.458 0.587 1
O31 O 0.958 0.371 0.283 1
O32 O 0.217 0.675 0.088 1
Er15 Er 0.875 0.250 0.625 1
Pu7 Pu 0.625 0.375 0.750 1
Er16 Er 0.000 0.000 0.500 1
O33 O 0.912 0.087 0.629 1
O34 O 0.913 0.088 0.871 1
Pu8 Pu 0.375 0.625 0.250 1
O35 O 0.283 0.871 0.958 1
O36 O 0.371 0.413 0.088 1
O37 O 0.413 0.042 0.325 1
O38 O 0.042 0.413 0.825 1
Pu9 Pu 0.250 0.125 0.375 1
O39 O 0.958 0.587 0.175 1
O40 O 0.588 0.871 0.413 1
Pu10 Pu 0.750 0.875 0.625 1
O41 O 0.042 0.629 0.717 1
O42 O 0.458 0.783 0.871 1
Pu11 Pu 0.125 0.250 0.875 1
O43 O 0.629 0.587 0.912 1
O44 O 0.675 0.217 0.588 1
Er17 Er 0.375 0.125 0.750 1
O45 O 0.175 0.087 0.958 1
Er18 Er 0.500 0.500 0.500 1
O46 O 0.825 0.913 0.042 1
Er19 Er 0.750 0.125 0.875 1
O47 O 0.325 0.783 0.412 1
Pu12 Pu 0.625 0.250 0.375 1
Er20 Er 0.500 0.500 0.000 1
O48 O 0.087 0.912 0.129 1
```